[1]
Density functional theory data (PBEsol) for crystalline InFe2Se at its relaxed geometry.

Summary:
Total energy   -5.9260 eV/atom
Total magnetic moment   0.94 μB per atom
Energy relative to the lowest polymorph listed for this composition   0.0 meV per atom
E_form (uncorrected)   264 meV/atom

Cell: 2.9997 2.9997 22.9730 Å, 90.00 90.00 120.00°
Space group R-3m (No. 166, hexagonal axes)
Inequivalent atoms, fractional coordinates:
In 0.0000 0.0000 0.0000 (multiplicity 3)
Fe 0.0000 0.0000 0.2411 (multiplicity 6)
Se 0.0000 0.0000 0.5000 (multiplicity 3)


[2]
Density functional theory data (PBEsol) for crystalline BaCoRu2 at its relaxed geometry.

Summary:
Total energy   -6.2131 eV/atom
Total magnetic moment   0.61 μB per atom
Energy relative to the lowest polymorph listed for this composition   670.3 meV per atom
Calculated formation energy   1.345 eV/atom

Cell: 5.1408 9.3737 2.9105 Å, 90.00 90.00 90.00°
Space group Cmmm (No. 65)
Inequivalent atoms, fractional coordinates:
Ba 0.0000 0.0000 0.0000 (multiplicity 2)
Co 0.0000 0.5000 0.0000 (multiplicity 2)
Ru 0.2500 0.2500 0.5000 (multiplicity 4)


[3]
Density functional theory data (PBEsol) for crystalline Ca2MnOs at its relaxed geometry.

Summary:
Total energy   -5.8184 eV/atom
Total magnetic moment   1.17 μB per atom
Energy relative to the lowest polymorph listed for this composition   379.9 meV per atom
Calculated formation energy   0.742 eV/atom

Cell: 6.9099 6.9099 6.9099 Å, 90.00 90.00 90.00°
Space group Fm-3m (No. 225)
Inequivalent atoms, fractional coordinates:
Ca 0.2500 0.2500 0.2500 (multiplicity 8)
Mn 0.0000 0.0000 0.0000 (multiplicity 4)
Os 0.0000 0.0000 0.5000 (multiplicity 4)


Question: energy relative to the lowest polymorph listed for this composition of number 3 (Ca2MnOs)?
Answer: 379.9 meV per atom